{
  "formula": "LiVNiO4",
  "functional": "PBE with a Hubbard U",
  "state": "optimized geometry",
  "cell": [[2.8320, -4.3284, 0.0000], [2.8320, 4.3284, 0.0000], [0.0000, 0.0000, 6.2504]],
  "species": ["Li", "Li", "V", "V", "Ni", "Ni", "O", "O", "O", "O", "O", "O", "O", "O"],
  "frac_coords": [[0.1625, 0.8375, 0.7500], [0.8375, 0.1625, 0.2500], [0.1474, 0.8526, 0.2500], [0.8526, 0.1474, 0.7500], [0.5000, 0.5000, 0.0000], [0.5000, 0.5000, 0.5000], [0.2278, 0.2660, 0.7500], [0.2625, 0.7375, 0.0276], [0.2625, 0.7375, 0.4724], [0.2660, 0.2278, 0.2500], [0.7340, 0.7722, 0.7500], [0.7375, 0.2625, 0.5276], [0.7375, 0.2625, 0.9724], [0.7722, 0.7340, 0.2500]],
  "de_polymorph_ev_per_fu": 0.06,
  "vol_a3_per_atom": 10.9,
  "dos_ef_per_ev_atom": 0.00
}